(1)
Sc6Al3Ag: optimized geometry, PBE-GGA.

a b c (Å): 8.415 4.866 10.724
angles (deg): 90.00 109.87 90.00
Fractional positions:
Sc 0.042 0.250 0.422
Sc 0.163 0.750 0.168
Sc 0.244 0.250 0.005
Sc 0.336 0.750 0.792
Sc 0.358 0.250 0.335
Sc 0.404 0.250 0.629
Sc 0.596 0.750 0.371
Sc 0.642 0.750 0.665
Sc 0.664 0.250 0.208
Sc 0.756 0.750 0.995
Sc 0.837 0.250 0.832
Sc 0.958 0.750 0.578
Al 0.029 0.750 0.870
Al 0.109 0.250 0.716
Al 0.272 0.750 0.472
Al 0.728 0.250 0.528
Al 0.891 0.750 0.284
Al 0.971 0.250 0.130
Ag 0.459 0.750 0.090
Ag 0.541 0.250 0.910

Formation enthalpy at 0 K, eV/atom: -0.322

***

(2)
LiCa2TlPd: optimized geometry, PBE-GGA.

a b c (Å): 5.515 5.515 5.306
angles (deg): 90.00 90.00 90.00
Fractional positions:
Li 0.000 0.000 0.000
Ca 0.000 0.500 0.500
Ca 0.500 0.000 0.500
Tl 0.500 0.500 0.000
Pd 0.500 0.500 0.500

Formation enthalpy at 0 K, eV/atom: -0.233

***

(3)
PuScTl2Te4: optimized geometry, PBE-GGA.

a b c (Å): 7.620 4.382 8.490
angles (deg): 90.00 107.15 90.00
Fractional positions:
Pu 0.000 0.000 0.000
Sc 0.500 0.500 0.000
Tl 0.000 0.500 0.500
Tl 0.500 0.000 0.500
Te 0.250 0.500 0.211
Te 0.279 0.000 0.794
Te 0.721 0.000 0.206
Te 0.750 0.500 0.789

***

(4)
Y3HoBi3: optimized geometry, PBE-GGA.

a b c (Å): 8.198 8.198 8.198
angles (deg): 67.42 67.42 67.42
Fractional positions:
Y 0.083 0.825 0.338
Y 0.175 0.662 0.917
Y 0.338 0.083 0.825
Y 0.662 0.917 0.175
Y 0.825 0.338 0.083
Y 0.917 0.175 0.662
Ho 0.333 0.333 0.333
Ho 0.667 0.667 0.667
Bi 0.082 0.476 0.694
Bi 0.306 0.918 0.524
Bi 0.476 0.694 0.082
Bi 0.524 0.306 0.918
Bi 0.694 0.082 0.476
Bi 0.918 0.524 0.306

Formation enthalpy at 0 K, eV/atom: -0.681

***

(5)
CsZnI3: optimized geometry, PBE-GGA.

a b c (Å): 7.534 7.534 7.534
angles (deg): 90.00 90.00 90.00
Fractional positions:
Cs 0.000 0.000 0.000
Zn 0.500 0.500 0.500
I 0.000 0.000 0.500
I 0.000 0.500 0.000
I 0.500 0.000 0.000

***

Number 1: volume 20.65 Å³/atom, total magnetization 0.00 μB/f.u., E -5.529 eV per atom. Number 2: volume 32.28 Å³/atom, total magnetization 0.00 μB/f.u., E -2.928 eV per atom. Number 3: volume 33.86 Å³/atom, total magnetization 5.01 μB/f.u., E -5.586 eV per atom. Number 4: volume 32.24 Å³/atom, total magnetization 0.00 μB/f.u., E -5.768 eV per atom. Number 5: volume 85.52 Å³/atom, total magnetization 2.00 μB/f.u., E -1.306 eV per atom.